ZrIrPb2 | PBEsol | optimized geometry

Cell: 5.504 5.504 5.504 Å, 134.67 134.67 66.04°
Fractional positions:
Zr  0.000  0.000  0.000
Ir  0.250  0.750  0.500
Pb  0.500  0.500  0.000
Pb  0.750  0.250  0.500

Calculated values
E above lowest polymorph: 0 meV/atom
ΔH_f (0 K): 0.282 eV per formula unit
D(E_F): 2.065 states/eV per cell
E: -6.66 eV/atom